This record from Alexandria via LeMat-Bulk describes an optimized crystal structure of PSeSBr2. The functional is PBE.

The structure in extended XYZ format:
```
5
Lattice="-4.161 -0.451 -2.618 -2.265 -1.939 3.935 -1.450 4.720 1.491" Properties=species:S:1:pos:R:3 pbc="T T T"
Br -2.081 -0.226 -1.309
Br -1.133 -0.969 1.967
Se -0.725 2.360 0.745
S -3.938 1.165 1.404
P 0.000 0.000 0.000
```

Output
Total moment, μB per cell: 1.3
ρ, Mg/m³: 3.99
Calculated total energy, eV/atom: -2.60
Relative energy among the computed polymorphs, meV/atom: 0
E_form (uncorrected), meV per atom: 676